Here is crystalline Mn2CuNi9 at its relaxed geometry from Alexandria. Energies are from PBE.

Structure (extended XYZ):
```
12
Lattice="3.555 0.000 0.000 0.000 3.555 0.000 0.000 0.000 10.685" Properties=species:S:1:pos:R:3 pbc="T T T"
Ni 1.777 1.777 7.127
Ni 1.777 0.000 1.772
Ni 1.777 0.000 8.912
Ni 0.000 1.777 5.342
Ni 1.777 1.777 3.558
Ni 0.000 1.777 8.912
Ni 1.777 0.000 5.342
Ni 1.777 1.777 0.000
Ni 0.000 1.777 1.772
Mn 0.000 0.000 3.547
Mn 0.000 0.000 7.138
Cu 0.000 0.000 0.000
```

Values from the calculation:
ΔH_f (0 K)   -0.053 eV per atom
Volume   11.3 Å³ per atom

***

Here is crystalline Zn2SnS at its relaxed geometry from Alexandria. Energies are from PBE.

Structure (extended XYZ):
```
4
Lattice="0.655 -4.479 -1.618 0.108 -3.680 3.091 -3.629 -3.151 0.113" Properties=species:S:1:pos:R:3 pbc="T T T"
Sn -1.433 -5.655 0.793
Zn -0.717 -2.827 0.397
Zn -2.150 -8.482 1.190
S 0.000 0.000 0.000
```

Values from the calculation:
Volume   19.6 Å³ per atom
Formation energy from raw total energies   0.31 eV/atom

***

Here is crystalline MgSb2Br8 at its relaxed geometry from Alexandria. Energies are from PBE.

Structure (extended XYZ):
```
11
Lattice="-1.970 3.890 6.016 1.524 -5.735 5.600 6.959 4.141 0.994" Properties=species:S:1:pos:R:3 pbc="T T T"
Br 0.381 2.667 6.169
Br 2.721 -3.492 6.708
Br 6.430 3.247 3.565
Br 2.794 0.420 4.198
Br 6.131 -0.370 6.442
Br 3.719 1.877 8.413
Br 0.083 -0.950 9.046
Br 3.792 5.789 5.903
Sb 5.963 0.918 9.005
Sb 0.550 1.379 3.606
Mg 0.000 0.000 0.000
```

Values from the calculation:
Offset from the most stable computed form   33.1 meV/atom
Volume   43.7 Å³ per atom
Formation energy from raw total energies   -0.75 eV/atom

***

Here is crystalline LaTb2Mg at its relaxed geometry from Alexandria. Energies are from PBE.

Structure (extended XYZ):
```
4
Lattice="3.722 0.000 0.000 0.000 3.722 0.000 0.000 0.000 8.968" Properties=species:S:1:pos:R:3 pbc="T T T"
Tb 0.000 0.000 1.968
Tb 0.000 0.000 6.999
La 1.861 1.861 4.484
Mg 1.861 1.861 0.000
```

Values from the calculation:
Offset from the most stable computed form   2.7 meV/atom
ΔH_f (0 K)   -0.024 eV per atom
Volume   31.1 Å³ per atom

***

Here is crystalline Pm4PrTm8 at its relaxed geometry from Alexandria. Energies are from PBE.

Structure (extended XYZ):
```
13
Lattice="6.469 0.000 -3.490 -4.176 6.049 0.000 1.108 0.765 9.793" Properties=species:S:1:pos:R:3 pbc="T T T"
Tm 0.866 5.064 4.985
Tm 2.643 1.825 4.899
Tm 3.691 5.063 3.461
Tm 6.043 1.657 3.461
Tm -2.642 5.157 2.841
Tm -0.291 1.750 2.842
Tm 2.535 1.750 1.317
Tm 0.758 4.989 1.404
Pm -2.088 3.024 0.000
Pm 0.000 0.000 0.000
Pm 1.147 3.024 -1.745
Pm 3.234 0.000 -1.745
Pr -1.534 3.407 4.896
```

Values from the calculation:
ΔH_f (0 K)   0.204 eV per atom
Volume   32.1 Å³ per atom

***

Here is crystalline Ac6NiIrPd2 at its relaxed geometry from Alexandria. Energies are from PBE.

Structure (extended XYZ):
```
10
Lattice="-4.439 0.501 6.136 -6.332 -4.165 0.448 0.024 -6.390 5.232" Properties=species:S:1:pos:R:3 pbc="T T T"
Ac -6.870 -5.388 3.136
Ac -7.857 -3.630 7.303
Ac -6.499 -7.627 6.903
Ac -4.041 -2.273 5.068
Ac -3.102 -6.562 4.677
Ac -3.776 -4.823 8.442
Pd -5.455 -4.907 5.837
Pd -0.060 -6.267 5.161
Ni -3.532 -1.306 2.245
Ir -8.898 -6.346 8.159
```

Values from the calculation:
ΔH_f (0 K)   -0.510 eV per atom
Volume   35.0 Å³ per atom

***

Here is crystalline Zn2CoAuCl at its relaxed geometry from Alexandria. Energies are from PBE.

Structure (extended XYZ):
```
5
Lattice="4.763 0.000 0.000 0.000 4.951 0.000 0.000 0.000 4.763" Properties=species:S:1:pos:R:3 pbc="T T T"
Au 0.000 2.475 0.000
Zn 2.382 0.000 0.000
Zn 0.000 0.000 2.382
Co 2.382 2.475 2.382
Cl 0.000 0.000 0.000
```

Values from the calculation:
Volume   22.5 Å³ per atom
Formation energy from raw total energies   1.17 eV/atom

***

Here is crystalline SrLa2Sc at its relaxed geometry from Alexandria. Energies are from PBE.

Structure (extended XYZ):
```
4
Lattice="-3.191 -1.465 0.836 2.716 -2.361 -0.285 2.484 1.415 11.958" Properties=species:S:1:pos:R:3 pbc="T T T"
La 0.028 0.016 0.136
La 0.428 -1.533 3.482
Sc 1.212 0.691 5.835
Sr 1.582 -0.876 9.035
```

Values from the calculation:
Offset from the most stable computed form   135.6 meV/atom
ΔH_f (0 K)   0.234 eV per atom
Volume   36.4 Å³ per atom